# 1
Entry from the Alexandria database: an optimized crystal structure of Tb3TlCd2 (PBE-GGA).

Cell and atoms, written as POSCAR:
```
Tb3TlCd2
1.0
3.765 0.000 0.000
0.000 3.765 0.000
0.000 0.000 11.390
Cd Tl Tb
2 1 3
direct
0.500 0.500 0.161
0.500 0.500 0.839
0.500 0.500 0.500
0.000 0.000 0.328
0.000 0.000 0.000
0.000 0.000 0.672
```

The total energy is -3.345 eV per atom. As for the energy of formation from the pure elements: -0.330 eV per atom. For the energy above the most stable polymorph in this dataset, the calculation gives 6.0 meV/atom. The value obtained for the density is 9.32 g/cm³.

# 2
Entry from the Alexandria database: an optimized crystal structure of RbMgNb (PBE-GGA).

Cell and atoms, written as POSCAR:
```
RbMgNb
1.0
5.492 -3.171 0.000
0.000 6.342 0.000
0.000 0.000 11.506
Rb Mg Nb
2 2 2
direct
0.333 0.667 0.250
0.667 0.333 0.750
0.000 0.000 0.250
0.000 0.000 0.750
0.000 0.000 0.500
0.000 0.000 0.000
```

The total energy is -2.277 eV per atom. As for the energy of formation from the pure elements: 1.933 eV per atom. For the energy above the most stable polymorph in this dataset, the calculation gives 1550.7 meV/atom. The value obtained for the density is 1.68 g/cm³.

# 3
Entry from the Alexandria database: an optimized crystal structure of HgSbAu3 (PBE-GGA).

Cell and atoms, written as POSCAR:
```
HgSbAu3
1.0
-1.608 5.003 -0.438
-2.202 -0.289 4.782
4.513 1.641 2.177
Hg Sb Au
1 1 3
direct
0.500 0.500 0.500
0.000 0.000 0.000
0.000 0.500 0.000
0.500 0.000 0.000
0.000 0.000 0.500
```

As for the uncorrected formation energy: 1.49 eV per formula unit. The total energy is -2.554 eV per atom. For the energy above the most stable polymorph in this dataset, the calculation gives 215.7 meV/atom. The value obtained for the density is 10.34 g/cm³.

# 4
Entry from the Alexandria database: an optimized crystal structure of YMn2C (PBE-GGA).

Cell and atoms, written as POSCAR:
```
YMn2C
1.0
-5.314 2.150 -0.943
-0.420 -3.166 -4.853
-4.503 -3.602 -0.737
Y Mn C
2 4 2
direct
0.000 0.000 0.000
0.750 0.250 0.500
0.374 0.625 0.250
0.875 0.626 0.750
0.375 0.624 0.750
0.376 0.125 0.250
0.250 0.750 0.500
0.500 0.500 0.000
```

The total energy is -8.210 eV per atom. As for the energy of formation from the pure elements: 0.297 eV per atom. The value obtained for the density is 5.04 g/cm³.

no.,total moment (Bohr magnetons per cell)
1,0.00
2,10.49
3,0.00
4,6.12